#a
VASP calculation (PBE-GGA) on a relaxed YTa3V crystal.

Computed properties:
- Total magnetization: 2.1 μB per formula unit
- SG: Pm-3m, No. 221
- N(E_F): 6.890 states/eV/cell

Unit cell a=4.883 b=4.883 c=4.883 alpha=90.00 beta=90.00 gamma=90.00
Atoms (fractional coordinates):
V1 0.500 0.500 0.500
Ta1 0.000 0.000 0.500
Y1 0.000 0.000 0.000
Ta2 0.500 0.000 0.000
Ta3 0.000 0.500 0.000

=====

#b
VASP calculation (PBE-GGA) on a relaxed YTa3V crystal.

Computed properties:
- Total magnetization: 0.0 μB per formula unit
- SG: Pm-3m, No. 221
- N(E_F): 4.969 states/eV/cell

Unit cell a=4.766 b=4.766 c=4.766 alpha=90.00 beta=90.00 gamma=90.00
Atoms (fractional coordinates):
Ta1 0.500 0.000 0.000
V1 0.000 0.000 0.000
Y1 0.500 0.500 0.500
Ta2 0.000 0.000 0.500
Ta3 0.000 0.500 0.000

=====

Most stable pick: #b. Distance to second place: 1711 meV per atom.

=====

#a
VASP calculation (PBE-GGA) on a relaxed TaV2Zn2 crystal.

Computed properties:
- Total magnetization: 0.0 μB per formula unit
- SG: I4/mmm, No. 139
- N(E_F): 4.420 states/eV/cell

Unit cell a=3.551 b=3.551 c=6.467 alpha=74.07 beta=74.07 gamma=90.00
Atoms (fractional coordinates):
Zn1 0.403 0.403 0.194
V1 0.250 0.750 0.500
Ta1 0.000 0.000 0.000
V2 0.750 0.250 0.500
Zn2 0.597 0.597 0.806

=====

#b
VASP calculation (PBE-GGA) on a relaxed TaV2Zn2 crystal.

Computed properties:
- Total magnetization: 0.0 μB per formula unit
- SG: P4/mbm, No. 127
- N(E_F): 10.438 states/eV/cell

Unit cell a=7.030 b=7.030 c=3.016 alpha=90.00 beta=90.00 gamma=90.00
Atoms (fractional coordinates):
Zn1 0.121 0.379 0.000
V1 0.179 0.679 0.500
Zn2 0.879 0.621 0.000
Zn3 0.379 0.879 0.000
V2 0.679 0.821 0.500
V3 0.821 0.321 0.500
V4 0.321 0.179 0.500
Ta1 0.000 0.000 0.000
Ta2 0.500 0.500 0.000
Zn4 0.621 0.121 0.000

=====

Most stable pick: #b. Distance to second place: 67 meV per atom.